# MgFeGe, optimized geometry, DFT PBE-GGA
# DOS(E_F)	1.30	states/eV per cell
# energy of formation	-0.16	eV per formula unit
data_MgFeGe
_space_group_name_H-M_alt 'C 1 2/m 1'
_space_group_IT_number 12
_cell_length_a 5.8069
_cell_length_b 7.4516
_cell_length_c 5.4511
_cell_angle_alpha 90.00
_cell_angle_beta 121.95
_cell_angle_gamma 90.00
loop_
_space_group_symop_operation_xyz
'x,y,z'
'-x,-y,-z'
'-x,y,-z'
'x,-y,z'
'x+1/2,y+1/2,z'
'-x+1/2,-y+1/2,-z'
'-x+1/2,y+1/2,-z'
'x+1/2,-y+1/2,z'
loop_
_atom_site_label
_atom_site_type_symbol
_atom_site_fract_x
_atom_site_fract_y
_atom_site_fract_z
Mg1 Mg 0.0000 0.2190 0.0000
Fe1 Fe 0.0000 0.2784 0.5000
Ge1 Ge 0.2431 0.0000 0.5572

# MgFeGe, optimized geometry, DFT PBE-GGA
# DOS(E_F)	1.54	states/eV per cell
# energy of formation	-0.08	eV per formula unit
data_MgFeGe
_space_group_name_H-M_alt 'P m m m'
_space_group_IT_number 47
_cell_length_a 2.7536
_cell_length_b 3.9174
_cell_length_c 4.6465
_cell_angle_alpha 90.00
_cell_angle_beta 90.00
_cell_angle_gamma 90.00
loop_
_space_group_symop_operation_xyz
'x,y,z'
'-x,-y,-z'
'-x,-y,z'
'x,y,-z'
'x,-y,-z'
'-x,y,z'
'-x,y,-z'
'x,-y,z'
loop_
_atom_site_label
_atom_site_type_symbol
_atom_site_fract_x
_atom_site_fract_y
_atom_site_fract_z
Mg1 Mg 0.0000 0.0000 0.0000
Fe1 Fe 0.5000 0.0000 0.5000
Ge1 Ge 0.0000 0.5000 0.5000

# MgFeGe2, optimized geometry, DFT PBE-GGA
# DOS(E_F)	5.92	states/eV per cell
# energy of formation	-0.05	eV per formula unit
data_MgFeGe2
_space_group_name_H-M_alt 'R -3 m'
_space_group_IT_number 166
_space_group_name_Hall '-R 3 2"'
_cell_length_a 3.0957
_cell_length_b 3.0957
_cell_length_c 23.6131
_cell_angle_alpha 90.00
_cell_angle_beta 90.00
_cell_angle_gamma 120.00
loop_
_atom_site_label
_atom_site_type_symbol
_atom_site_fract_x
_atom_site_fract_y
_atom_site_fract_z
Mg1 Mg 0.0000 0.0000 0.0000
Fe1 Fe 0.0000 0.0000 0.5000
Ge1 Ge 0.0000 0.0000 0.2381

# MgFeGe2, optimized geometry, DFT PBE-GGA
# DOS(E_F)	8.20	states/eV per cell
# energy of formation	-0.09	eV per formula unit
data_MgFeGe2
_space_group_name_H-M_alt 'R 3 m'
_space_group_IT_number 160
_space_group_name_Hall 'R 3 -2"'
_cell_length_a 3.9956
_cell_length_b 3.9956
_cell_length_c 14.4357
_cell_angle_alpha 90.00
_cell_angle_beta 90.00
_cell_angle_gamma 120.00
loop_
_atom_site_label
_atom_site_type_symbol
_atom_site_fract_x
_atom_site_fract_y
_atom_site_fract_z
Mg1 Mg 0.0000 0.0000 0.0000
Fe1 Fe 0.0000 0.0000 0.1857
Ge1 Ge 0.0000 0.0000 0.5637
Ge2 Ge 0.0000 0.0000 0.7846